(1)
The following is a PBE calculation of crystalline Ba2AlSb at its relaxed geometry, from the Alexandria database.

The space group is P4/mmm (No. 123) and the conventional cell measures 5.564, 5.564 and 4.717 Å, with angles of 90.00, 90.00 and 90.00 degrees. Symmetry generates all atoms from Ba at (0.000, 0.500, 0.000), Al at (0.000, 0.000, 0.500) and Sb at (0.500, 0.500, 0.500).

Its total energy is -0.250 Ry per atom.

---

(2)
The following is a PBE calculation of crystalline BaAl2Sb2 at its relaxed geometry, from the Alexandria database.

The space group is I4/mmm (No. 139) and the conventional cell measures 5.338, 5.338 and 9.978 Å, with angles of 90.00, 90.00 and 90.00 degrees. Symmetry generates all atoms from Ba at (0.000, 0.000, 0.000), Al at (0.000, 0.000, 0.365) and Sb at (0.000, 0.500, 0.250).

Its total energy is -0.289 Ry per atom.

---

(3)
The following is a PBE calculation of crystalline BaAlSb2 at its relaxed geometry, from the Alexandria database.

The space group is Imm2 (No. 44) and the conventional cell measures 4.000, 5.748 and 10.789 Å, with angles of 90.00, 90.00 and 90.00 degrees. Symmetry generates all atoms from Ba at (0.000, 0.000, 0.000), Al at (0.000, 0.500, 0.780), Sb at (0.000, 0.000, 0.484) and Sb at (0.000, 0.500, 0.206).

Its total energy is -0.271 Ry per atom.

---

(4)
The following is a PBE calculation of crystalline BaAlSb2 at its relaxed geometry, from the Alexandria database.

The space group is Pmmm (No. 47) and the conventional cell measures 4.122, 4.154 and 7.041 Å, with angles of 90.00, 90.00 and 90.00 degrees. Symmetry generates all atoms from Ba at (0.000, 0.000, 0.000), Al at (0.000, 0.000, 0.500) and Sb at (0.500, 0.500, 0.298).

Its total energy is -0.276 Ry per atom.

---

Calculated values (μB per cell) of magnetization for the records, taken in order: 0.0, 0.0, 0.0, 0.0.